[1]
A plane-wave DFT calculation with GGA-PBE was carried out for an optimized crystal structure of AcFeC2.

abc: 4.325 3.772 3.772
angles: 74.94 90.00 90.00
Element x y z (fractional)
Ac 0.000 0.000 0.000
Fe 0.500 0.614 0.614
C 0.500 0.142 0.447
C 0.500 0.447 0.142

Calculated values
Energy of formation from the pure elements, eV/f.u.: -0.2
Theoretical density, g/cm3: 8.58
Density of states at the Fermi level, states/eV per atom: 0.515
Electronic total energy, eV/atom: -7.816

=====

[2]
A plane-wave DFT calculation with GGA-PBE was carried out for an optimized crystal structure of Sm5Ho6Th.

abc: 9.458 9.458 9.458
angles: 148.89 115.96 72.91
Element x y z (fractional)
Sm 0.000 0.000 0.000
Sm 0.166 0.666 0.500
Sm 0.335 0.335 0.000
Sm 0.665 0.665 0.000
Sm 0.834 0.334 0.500
Ho 0.087 0.835 0.252
Ho 0.254 0.500 0.754
Ho 0.417 0.165 0.252
Ho 0.583 0.835 0.748
Ho 0.746 0.500 0.246
Ho 0.913 0.165 0.748
Th 0.500 0.000 0.500

Calculated values
Energy of formation from the pure elements, eV/f.u.: 0.3
Theoretical density, g/cm3: 8.47
Density of states at the Fermi level, states/eV per atom: 1.405
Electronic total energy, eV/atom: -4.849

=====

[3]
A plane-wave DFT calculation with GGA-PBE was carried out for an optimized crystal structure of LiFe2Re.

abc: 4.803 4.803 4.367
angles: 106.06 106.06 30.95
Element x y z (fractional)
Li 0.000 0.000 0.000
Fe 0.238 0.238 0.813
Fe 0.533 0.533 0.524
Re 0.785 0.785 0.338

Calculated values
Energy of formation from the pure elements, eV/f.u.: 1.0
Theoretical density, g/cm3: 10.20
Density of states at the Fermi level, states/eV per atom: 0.703
Energy above the most stable polymorph in this dataset, meV per atom: 97
Electronic total energy, eV/atom: -7.578

=====

[4]
A plane-wave DFT calculation with GGA-PBE was carried out for an optimized crystal structure of Sc2PaCo.

abc: 3.123 3.123 8.139
angles: 90.00 90.00 90.00
Element x y z (fractional)
Sc 0.000 0.000 0.190
Sc 0.000 0.000 0.810
Pa 0.500 0.500 0.500
Co 0.500 0.500 0.000

Calculated values
Energy of formation from the pure elements, eV/f.u.: -0.4
Theoretical density, g/cm3: 7.95
Density of states at the Fermi level, states/eV per atom: 1.443
Energy above the most stable polymorph in this dataset, meV per atom: 117
Electronic total energy, eV/atom: -7.416